Below is an optimized crystal structure of NaFeReBi2, with properties calculated at the PBE level.

Computed properties:
DFT total energy ... -5.182 eV/atom
Calculated volume ... 28.3 A^3/atom
Crystal system ... tetragonal
ΔE_f ... 4.083 eV per formula unit
M_tot ... 3.63 μB per cell

a = 5.333 Å, b = 5.333 Å, c = 4.973 Å
α = 90.00°, β = 90.00°, γ = 90.00°
Space group P4/mmm (No. 123)
Unique sites:
Na  0.000  0.000  0.000 [1 per cell]
Fe  0.500  0.500  0.000 [1 per cell]
Re  0.500  0.500  0.500 [1 per cell]
Bi  0.000  0.500  0.500 [2 per cell]


Below is an optimized crystal structure of Na2FeReBi, with properties calculated at the PBE level.

Computed properties:
DFT total energy ... -4.304 eV/atom
Calculated volume ... 23.5 A^3/atom
Crystal system ... tetragonal
ΔE_f ... 5.908 eV per formula unit
M_tot ... 0.00 μB per cell

a = 5.207 Å, b = 5.207 Å, c = 4.326 Å
α = 90.00°, β = 90.00°, γ = 90.00°
Space group P4/mmm (No. 123)
Unique sites:
Na  0.000  0.500  0.000 [2 per cell]
Fe  0.000  0.000  0.000 [1 per cell]
Re  0.000  0.000  0.500 [1 per cell]
Bi  0.500  0.500  0.500 [1 per cell]


Below is an optimized crystal structure of NaFeBi2Rh, with properties calculated at the PBE level.

Computed properties:
DFT total energy ... -3.554 eV/atom
Calculated volume ... 24.7 A^3/atom
Crystal system ... tetragonal
ΔE_f ... 7.126 eV per formula unit
M_tot ... 3.01 μB per cell

a = 5.258 Å, b = 5.258 Å, c = 4.475 Å
α = 90.00°, β = 90.00°, γ = 90.00°
Space group P4/mmm (No. 123)
Unique sites:
Na  0.000  0.000  0.000 [1 per cell]
Fe  0.000  0.000  0.500 [1 per cell]
Bi  0.000  0.500  0.000 [2 per cell]
Rh  0.500  0.500  0.500 [1 per cell]


Below is an optimized crystal structure of NaFe2SnBi, with properties calculated at the PBE level.

Computed properties:
DFT total energy ... -4.145 eV/atom
Calculated volume ... 29.9 A^3/atom
Crystal system ... tetragonal
ΔE_f ... 5.403 eV per formula unit
M_tot ... 5.10 μB per cell

a = 4.997 Å, b = 4.997 Å, c = 5.993 Å
α = 90.00°, β = 90.00°, γ = 90.00°
Space group P4/mmm (No. 123)
Unique sites:
Na  0.000  0.000  0.000 [1 per cell]
Fe  0.000  0.500  0.500 [2 per cell]
Sn  0.500  0.500  0.000 [1 per cell]
Bi  0.500  0.500  0.500 [1 per cell]


- Which formula does entry 4 have?
  NaFe2SnBi


- Among the records above, which one has the highest ΔE_f?
  NaFeBi2Rh